(1)
LaTbPr2Sm4: relaxed, GGA-PBE.

Computed properties:
The energy of formation is 17 meV/atom. As for the density of states at the Fermi level: 12.864 states/eV/cell. Its space group is P2/m. For the mass density, the calculation gives 7.1 g cm⁻³. For the total energy, the calculation gives -4.73 eV/atom.

Lattice parameters (Å, degrees): 3.669 6.319 12.143 79.66 90.00 90.00
Fractional positions:
Sm1 0.000 0.250 0.252
Sm2 0.500 0.748 0.253
Pr1 0.000 0.000 0.000
La1 0.500 0.500 0.000
Pr2 0.500 0.000 0.500
Sm3 0.500 0.252 0.747
Sm4 0.000 0.750 0.748
Tb1 0.000 0.500 0.500


(2)
La3FeAg: relaxed, GGA-PBE.

Computed properties:
The energy of formation is -16 meV/atom. As for the density of states at the Fermi level: 6.170 states/eV/cell. Its space group is Pm-3m. For the mass density, the calculation gives 6.6 g cm⁻³. For the total energy, the calculation gives -5.24 eV/atom. The calculation puts the energy above the most stable polymorph in this dataset at 20 kJ/mol of formula units.

Lattice parameters (Å, degrees): 5.273 5.273 5.273 90.00 90.00 90.00
Fractional positions:
La1 0.000 0.500 0.000
La2 0.500 0.000 0.000
Ag1 0.500 0.500 0.500
Fe1 0.000 0.000 0.000
La3 0.000 0.000 0.500


Q: Which of these has the highest energy of formation?
A: LaTbPr2Sm4